[1]
The following is a PBE calculation of crystalline Ba2SrPbS at its relaxed geometry, from Alexandria.

Output
Crystal system: tetragonal
Formation energy without anion corrections in eV per formula unit: -5.1
Mass density in Mg/m³: 4.747
Calculated volume in Å³/cell: 210.4

The structure in CIF format:
```
data_Ba2SrPbS
_cell_length_a 6.057
_cell_length_b 6.057
_cell_length_c 5.734
_cell_angle_alpha 90.00
_cell_angle_beta 90.00
_cell_angle_gamma 90.00
_space_group_name_H-M_alt 'P 4/m m m'
_space_group_IT_number 123
_space_group_name_Hall '-P 4 2'
loop_
_atom_site_label
_atom_site_fract_x
_atom_site_fract_y
_atom_site_fract_z
_atom_site_occupancy
Ba1 0.000 0.500 0.000 1
Sr1 0.000 0.000 0.500 1
Pb1 0.500 0.500 0.500 1
S1 0.000 0.000 0.000 1
```

[2]
The following is a PBE calculation of crystalline Ba2SrPbS4 at its relaxed geometry, from Alexandria.

Output
Crystal system: orthorhombic
Formation energy without anion corrections in eV per formula unit: -13.6
Mass density in Mg/m³: 4.755
Calculated volume in Å³/cell: 974.7

The structure in CIF format:
```
data_Ba2SrPbS4
_cell_length_a 8.820
_cell_length_b 8.848
_cell_length_c 12.489
_cell_angle_alpha 90.00
_cell_angle_beta 90.00
_cell_angle_gamma 90.00
_space_group_name_H-M_alt 'I m m a'
_space_group_IT_number 74
_space_group_name_Hall '-I 2b 2'
loop_
_atom_site_label
_atom_site_fract_x
_atom_site_fract_y
_atom_site_fract_z
_atom_site_occupancy
Ba1 0.000 0.000 0.000 1
Ba2 0.250 0.250 0.250 1
Sr1 0.250 0.250 0.750 1
Pb1 0.000 0.000 0.500 1
S1 0.000 0.010 0.746 1
S2 0.243 0.250 0.505 1
```

[3]
The following is a PBE calculation of crystalline BaSrPb2S4 at its relaxed geometry, from Alexandria.

Output
Crystal system: orthorhombic
Formation energy without anion corrections in eV per formula unit: -10.4
Mass density in Mg/m³: 5.501
Calculated volume in Å³/cell: 926.9

The structure in CIF format:
```
data_BaSrPb2S4
_cell_length_a 8.681
_cell_length_b 8.694
_cell_length_c 12.282
_cell_angle_alpha 90.00
_cell_angle_beta 90.00
_cell_angle_gamma 90.00
_space_group_name_H-M_alt 'I m m a'
_space_group_IT_number 74
_space_group_name_Hall '-I 2b 2'
loop_
_atom_site_label
_atom_site_fract_x
_atom_site_fract_y
_atom_site_fract_z
_atom_site_occupancy
Ba1 0.000 0.000 0.000 1
Sr1 0.250 0.250 0.250 1
Pb1 0.000 0.000 0.500 1
Pb2 0.250 0.250 0.750 1
S1 0.000 0.002 0.254 1
S2 0.242 0.250 0.499 1
```